(1)
Density functional theory data (PBE) for RbNdFeS3 after structural relaxation.

a = 7.6488 Å, b = 7.6488 Å, c = 10.8291 Å
α = 90.00°, β = 90.00°, γ = 30.99°
Last column: nearest neighbours and their distance in Å.
Atoms (fractional coordinates):
S 0.0561 0.0561 0.7500  2 Fe 2.42
S 0.9439 0.9439 0.2500  2 Fe 2.42
S 0.3798 0.3798 0.5764  1 Fe 2.29
S 0.6202 0.6202 0.0764  1 Fe 2.29
S 0.3798 0.3798 0.9236  1 Fe 2.29
S 0.6202 0.6202 0.4236  1 Fe 2.29
Fe 0.4685 0.4685 0.7500  4 S 2.29-2.42
Fe 0.5315 0.5315 0.2500  4 S 2.29-2.42
Nd 0.0000 0.0000 0.0000  6 S 2.83
Nd 0.0000 0.0000 0.5000  6 S 2.83
Rb 0.2585 0.2585 0.2500  6 S 3.41-3.44
Rb 0.7415 0.7415 0.7500  6 S 3.41-3.44

Calculated values
symmetry: Cmcm (63)


(2)
Density functional theory data (PBE) for RbNdFeS3 after structural relaxation.

a = 11.1615 Å, b = 4.2340 Å, c = 12.3353 Å
α = 90.00°, β = 90.00°, γ = 90.00°
Last column: nearest neighbours and their distance in Å.
Atoms (fractional coordinates):
S 0.0601 0.5000 0.8200  1 Fe 2.27
S 0.6097 0.0000 0.0597  1 Fe 2.33
S 0.8903 0.5000 0.5597  1 Fe 2.33
S 0.5601 0.5000 0.6800  1 Fe 2.27
S 0.3903 0.5000 0.9403  1 Fe 2.33
S 0.1097 0.0000 0.4403  1 Fe 2.33
S 0.7892 0.0000 0.7903  2 Fe 2.37
S 0.2892 0.0000 0.7097  2 Fe 2.37
S 0.7108 0.5000 0.2903  2 Fe 2.37
S 0.4399 0.0000 0.3200  1 Fe 2.27
S 0.9399 0.0000 0.1800  1 Fe 2.27
S 0.2108 0.5000 0.2097  2 Fe 2.37
Nd 0.9782 0.5000 0.3320  7 S 2.86-3.03
Nd 0.0218 0.0000 0.6680  7 S 2.86-3.03
Nd 0.5218 0.0000 0.8320  7 S 2.86-3.03
Nd 0.4782 0.5000 0.1680  7 S 2.86-3.03
Fe 0.2385 0.0000 0.2921  4 S 2.27-2.37
Fe 0.7385 0.0000 0.2079  4 S 2.27-2.37
Fe 0.7615 0.5000 0.7079  4 S 2.27-2.37
Fe 0.2615 0.5000 0.7921  4 S 2.27-2.37
Rb 0.8357 0.5000 0.9925  7 S 3.29-3.40, 3 Fe 3.57-3.61
Rb 0.6643 0.0000 0.4925  7 S 3.29-3.40, 3 Fe 3.57-3.61
Rb 0.3357 0.5000 0.5075  7 S 3.29-3.40, 3 Fe 3.57-3.61
Rb 0.1643 0.0000 0.0075  7 S 3.29-3.40, 3 Fe 3.57-3.61

Calculated values
symmetry: Pnma (62)


Relative energy of each structure, in meV/atom: (1) 0; (2) 31.


(1)
Density functional theory data (PBE) for NdTlFeSe3 after structural relaxation.

a = 11.5795 Å, b = 4.3327 Å, c = 12.5856 Å
α = 90.00°, β = 90.00°, γ = 90.00°
Last column: nearest neighbours and their distance in Å.
Atoms (fractional coordinates):
Se 0.9505 0.0000 0.1665  1 Fe 2.41
Se 0.7847 0.0000 0.7986  2 Fe 2.49
Se 0.5495 0.5000 0.6665  1 Fe 2.41
Se 0.2847 0.0000 0.7014  2 Fe 2.49
Se 0.0495 0.5000 0.8335  1 Fe 2.41
Se 0.1107 0.0000 0.4425  1 Fe 2.44
Se 0.3893 0.5000 0.9425  1 Fe 2.44
Se 0.7153 0.5000 0.2986  2 Fe 2.49
Se 0.6107 0.0000 0.0575  1 Fe 2.44
Se 0.4505 0.0000 0.3335  1 Fe 2.41
Se 0.2153 0.5000 0.2014  2 Fe 2.49
Se 0.8893 0.5000 0.5575  1 Fe 2.44
Fe 0.7468 0.0000 0.2055  4 Se 2.41-2.49
Fe 0.2468 0.0000 0.2945  4 Se 2.41-2.49
Fe 0.7532 0.5000 0.7055  4 Se 2.41-2.49
Fe 0.2532 0.5000 0.7945  4 Se 2.41-2.49
Nd 0.0201 0.0000 0.6728  7 Se 2.98-3.15
Nd 0.5201 0.0000 0.8272  7 Se 2.98-3.15
Nd 0.4799 0.5000 0.1728  7 Se 2.98-3.15
Nd 0.9799 0.5000 0.3272  7 Se 2.98-3.15
Tl 0.3308 0.5000 0.5041  7 Se 3.25-3.43, 2 Fe 3.55
Tl 0.8308 0.5000 0.9959  7 Se 3.25-3.43, 2 Fe 3.55
Tl 0.1692 0.0000 0.0041  7 Se 3.25-3.43, 2 Fe 3.55
Tl 0.6692 0.0000 0.4959  7 Se 3.25-3.43, 2 Fe 3.55

Calculated values
symmetry: Pnma (62)


(2)
Density functional theory data (PBE) for NdTlFeSe3 after structural relaxation.

a = 7.7114 Å, b = 7.7114 Å, c = 11.1601 Å
α = 90.00°, β = 90.00°, γ = 31.54°
Last column: nearest neighbours and their distance in Å.
Atoms (fractional coordinates):
Se 0.3723 0.3723 0.4226  1 Fe 2.43
Se 0.3723 0.3723 0.0774  1 Fe 2.43
Se 0.9328 0.9328 0.7500  2 Fe 2.52
Se 0.6277 0.6277 0.5774  1 Fe 2.43
Se 0.6277 0.6277 0.9226  1 Fe 2.43
Se 0.0672 0.0672 0.2500  2 Fe 2.52
Fe 0.5276 0.5276 0.7500  4 Se 2.43-2.52
Fe 0.4724 0.4724 0.2500  4 Se 2.43-2.52
Tl 0.2465 0.2465 0.7500  6 Se 3.35-3.47
Tl 0.7535 0.7535 0.2500  6 Se 3.35-3.47
Nd 0.0000 0.0000 0.0000  6 Se 2.95-2.96
Nd 0.0000 0.0000 0.5000  6 Se 2.95-2.96

Calculated values
symmetry: Cmcm (63)


Relative energy of each structure, in meV/atom: (1) 16; (2) 0.


(1)
Density functional theory data (PBE) for NdTlFeTe3 after structural relaxation.

a = 4.3796 Å, b = 8.1609 Å, c = 11.6995 Å
α = 90.00°, β = 90.00°, γ = 74.44°
Last column: nearest neighbours and their distance in Å.
Atoms (fractional coordinates):
Fe 0.4701 0.0598 0.7500  4 Te 2.63-2.72
Fe 0.5299 0.9402 0.2500  4 Te 2.63-2.72
Te 0.3657 0.2687 0.5745  1 Fe 2.63
Te 0.3657 0.2687 0.9255  1 Fe 2.63
Te 0.6343 0.7313 0.0745  1 Fe 2.63
Te 0.0727 0.8546 0.7500  2 Fe 2.72
Te 0.9273 0.1454 0.2500  2 Fe 2.72
Te 0.6343 0.7313 0.4255  1 Fe 2.63
Nd 0.0000 0.0000 0.5000  6 Te 3.14-3.16
Nd 0.0000 0.0000 0.0000  6 Te 3.14-3.16
Tl 0.7539 0.4922 0.7500  6 Te 3.48-3.59
Tl 0.2461 0.5078 0.2500  6 Te 3.48-3.59

Calculated values
symmetry: Cmcm (63)


(2)
Density functional theory data (PBE) for NdTlFeTe3 after structural relaxation.

a = 4.5591 Å, b = 12.4479 Å, c = 13.3213 Å
α = 90.00°, β = 90.00°, γ = 90.00°
Last column: nearest neighbours and their distance in Å.
Atoms (fractional coordinates):
Tl 0.7500 0.1820 0.0002  7 Te 3.47-3.57, 2 Fe 3.61
Tl 0.7500 0.6820 0.4998  7 Te 3.47-3.57, 2 Fe 3.61
Tl 0.2500 0.3180 0.5002  7 Te 3.47-3.57, 2 Fe 3.61
Tl 0.2500 0.8180 0.9998  7 Te 3.47-3.57, 2 Fe 3.61
Fe 0.7500 0.7528 0.2010  4 Te 2.60-2.67
Fe 0.2500 0.7472 0.7010  4 Te 2.60-2.67
Fe 0.7500 0.2528 0.2990  4 Te 2.60-2.67
Fe 0.2500 0.2472 0.7990  4 Te 2.60-2.67
Nd 0.2500 0.4794 0.1813  7 Te 3.20-3.37
Nd 0.7500 0.5206 0.8187  7 Te 3.20-3.37
Nd 0.7500 0.0206 0.6813  7 Te 3.20-3.37
Nd 0.2500 0.9794 0.3187  7 Te 3.20-3.37
Te 0.7500 0.6068 0.0583  1 Fe 2.63
Te 0.7500 0.9551 0.1517  1 Fe 2.60
Te 0.7500 0.7814 0.8000  2 Fe 2.67
Te 0.2500 0.0449 0.8483  1 Fe 2.60
Te 0.2500 0.5449 0.6517  1 Fe 2.60
Te 0.7500 0.2814 0.7000  2 Fe 2.67
Te 0.7500 0.4551 0.3483  1 Fe 2.60
Te 0.2500 0.7186 0.3000  2 Fe 2.67
Te 0.7500 0.1068 0.4417  1 Fe 2.63
Te 0.2500 0.2186 0.2000  2 Fe 2.67
Te 0.2500 0.3932 0.9417  1 Fe 2.63
Te 0.2500 0.8932 0.5583  1 Fe 2.63

Calculated values
symmetry: Pnma (62)


Relative energy of each structure, in meV/atom: (1) 0; (2) 25.


(1)
Density functional theory data (PBE) for ZnFeNiOs after structural relaxation.

a = 4.1410 Å, b = 4.1410 Å, c = 4.1410 Å
α = 60.00°, β = 60.00°, γ = 60.00°
Last column: nearest neighbours and their distance in Å.
Atoms (fractional coordinates):
Ni 0.5000 0.5000 0.5000  4 Os 2.54, 4 Fe 2.54
Os 0.2500 0.2500 0.2500  4 Ni 2.54, 4 Zn 2.54
Zn 0.0000 0.0000 0.0000  4 Fe 2.54, 4 Os 2.54
Fe 0.7500 0.7500 0.7500  4 Zn 2.54, 4 Ni 2.54

Calculated values
symmetry: F-43m (216)


(2)
Density functional theory data (PBE) for ZnFeNiOs after structural relaxation.

a = 4.1439 Å, b = 4.1439 Å, c = 4.1439 Å
α = 60.00°, β = 60.00°, γ = 60.00°
Last column: nearest neighbours and their distance in Å.
Atoms (fractional coordinates):
Ni 0.2500 0.2500 0.2500  4 Os 2.54, 4 Zn 2.54
Os 0.5000 0.5000 0.5000  4 Fe 2.54, 4 Ni 2.54
Fe 0.7500 0.7500 0.7500  4 Os 2.54, 4 Zn 2.54
Zn 0.0000 0.0000 0.0000  4 Fe 2.54, 4 Ni 2.54

Calculated values
symmetry: F-43m (216)


Relative energy of each structure, in meV/atom: (1) 117; (2) 0.


(1)
Density functional theory data (PBE) for FeNiPbSe3 after structural relaxation.

a = 7.2037 Å, b = 7.2037 Å, c = 9.4558 Å
α = 90.00°, β = 90.00°, γ = 30.28°
Last column: nearest neighbours and their distance in Å.
Atoms (fractional coordinates):
Se 0.6246 0.6246 0.5410  1 Fe 2.36, 2 Ni 2.59
Se 0.3754 0.3754 0.0410  1 Fe 2.36, 2 Ni 2.59
Se 0.3754 0.3754 0.4590  1 Fe 2.36, 2 Ni 2.59
Se 0.0720 0.0720 0.2500  2 Fe 2.37, 2 Ni 2.57
Se 0.9280 0.9280 0.7500  2 Fe 2.37, 2 Ni 2.57
Se 0.6246 0.6246 0.9590  1 Fe 2.36, 2 Ni 2.59
Ni 0.0000 0.0000 0.0000  6 Se 2.57-2.59
Ni 0.0000 0.0000 0.5000  6 Se 2.57-2.59
Fe 0.4681 0.4681 0.2500  4 Se 2.36-2.37
Fe 0.5319 0.5319 0.7500  4 Se 2.36-2.37
Pb 0.2320 0.2320 0.7500  8 Se 3.11-3.40, 2 Fe 3.36
Pb 0.7680 0.7680 0.2500  8 Se 3.11-3.40, 2 Fe 3.36

Calculated values
symmetry: Cmcm (63)


(2)
Density functional theory data (PBE) for FeNiPbSe3 after structural relaxation.

a = 6.9896 Å, b = 6.9896 Å, c = 9.7161 Å
α = 90.00°, β = 90.00°, γ = 30.54°
Last column: nearest neighbours and their distance in Å.
Atoms (fractional coordinates):
Se 0.9369 0.9369 0.7500  2 Ni 2.35, 2 Fe 2.57
Se 0.0631 0.0631 0.2500  2 Ni 2.35, 2 Fe 2.57
Se 0.3743 0.3743 0.4667  1 Ni 2.36, 2 Fe 2.52
Se 0.6257 0.6257 0.5333  1 Ni 2.36, 2 Fe 2.52
Se 0.3743 0.3743 0.0333  1 Ni 2.36, 2 Fe 2.52
Se 0.6257 0.6257 0.9667  1 Ni 2.36, 2 Fe 2.52
Ni 0.4542 0.4542 0.2500  4 Se 2.35-2.36
Ni 0.5458 0.5458 0.7500  4 Se 2.35-2.36
Fe 0.0000 0.0000 0.5000  6 Se 2.52-2.57
Fe 0.0000 0.0000 0.0000  6 Se 2.52-2.57
Pb 0.2295 0.2295 0.7500  2 Ni 3.09, 8 Se 3.13-3.38
Pb 0.7705 0.7705 0.2500  2 Ni 3.09, 8 Se 3.13-3.38

Calculated values
symmetry: Cmcm (63)


Relative energy of each structure, in meV/atom: (1) 21; (2) 0.


(1)
Density functional theory data (PBE) for TaFeNiPb after structural relaxation.

a = 4.5140 Å, b = 4.5140 Å, c = 4.5140 Å
α = 60.00°, β = 60.00°, γ = 60.00°
Last column: nearest neighbours and their distance in Å.
Atoms (fractional coordinates):
Fe 0.5000 0.5000 0.5000  4 Ta 2.76, 4 Ni 2.76
Pb 0.0000 0.0000 0.0000  4 Ni 2.76, 4 Ta 2.76
Ni 0.7500 0.7500 0.7500  4 Pb 2.76, 4 Fe 2.76
Ta 0.2500 0.2500 0.2500  4 Pb 2.76, 4 Fe 2.76

Calculated values
symmetry: F-43m (216)


(2)
Density functional theory data (PBE) for TaFeNiPb after structural relaxation.

a = 4.5062 Å, b = 4.5062 Å, c = 4.5062 Å
α = 60.00°, β = 60.00°, γ = 60.00°
Last column: nearest neighbours and their distance in Å.
Atoms (fractional coordinates):
Ta 0.2500 0.2500 0.2500  4 Ni 2.76, 4 Pb 2.76
Pb 0.0000 0.0000 0.0000  4 Ta 2.76, 4 Fe 2.76
Fe 0.7500 0.7500 0.7500  4 Pb 2.76, 4 Ni 2.76
Ni 0.5000 0.5000 0.5000  4 Ta 2.76, 4 Fe 2.76

Calculated values
symmetry: F-43m (216)


(3)
Density functional theory data (PBE) for TaFeNiPb after structural relaxation.

a = 4.4438 Å, b = 4.4438 Å, c = 4.4438 Å
α = 60.00°, β = 60.00°, γ = 60.00°
Last column: nearest neighbours and their distance in Å.
Atoms (fractional coordinates):
Ta 0.5000 0.5000 0.5000  4 Fe 2.72, 4 Ni 2.72
Fe 0.7500 0.7500 0.7500  4 Ta 2.72, 4 Pb 2.72
Ni 0.2500 0.2500 0.2500  4 Ta 2.72, 4 Pb 2.72
Pb 0.0000 0.0000 0.0000  4 Fe 2.72, 4 Ni 2.72

Calculated values
symmetry: F-43m (216)


Relative energy of each structure, in meV/atom: (1) 244; (2) 292; (3) 0.


(1)
Density functional theory data (PBE) for FeNiPbW after structural relaxation.

a = 4.4006 Å, b = 4.4006 Å, c = 4.4006 Å
α = 60.00°, β = 60.00°, γ = 60.00°
Last column: nearest neighbours and their distance in Å.
Atoms (fractional coordinates):
Fe 0.7500 0.7500 0.7500  4 Pb 2.69, 4 W 2.69
Pb 0.0000 0.0000 0.0000  4 Ni 2.69, 4 Fe 2.69
Ni 0.2500 0.2500 0.2500  4 Pb 2.69, 4 W 2.69
W 0.5000 0.5000 0.5000  4 Ni 2.69, 4 Fe 2.69

Calculated values
symmetry: F-43m (216)


(2)
Density functional theory data (PBE) for FeNiPbW after structural relaxation.

a = 4.4579 Å, b = 4.4579 Å, c = 4.4579 Å
α = 60.00°, β = 60.00°, γ = 60.00°
Last column: nearest neighbours and their distance in Å.
Atoms (fractional coordinates):
W 0.2500 0.2500 0.2500  4 Pb 2.73, 4 Ni 2.73
Ni 0.5000 0.5000 0.5000  4 W 2.73, 4 Fe 2.73
Pb 0.0000 0.0000 0.0000  4 Fe 2.73, 4 W 2.73
Fe 0.7500 0.7500 0.7500  4 Ni 2.73, 4 Pb 2.73

Calculated values
symmetry: F-43m (216)


Relative energy of each structure, in meV/atom: (1) 0; (2) 215.


(1)
Density functional theory data (PBE) for YFeNiPb after structural relaxation.

a = 4.7883 Å, b = 4.7883 Å, c = 4.7883 Å
α = 60.00°, β = 60.00°, γ = 60.00°
Last column: nearest neighbours and their distance in Å.
Atoms (fractional coordinates):
Y 0.2500 0.2500 0.2500  4 Ni 2.93, 4 Pb 2.93
Pb 0.0000 0.0000 0.0000  4 Fe 2.93, 4 Y 2.93
Fe 0.7500 0.7500 0.7500  4 Ni 2.93, 4 Pb 2.93
Ni 0.5000 0.5000 0.5000  4 Fe 2.93, 4 Y 2.93

Calculated values
symmetry: F-43m (216)


(2)
Density functional theory data (PBE) for YFeNiPb after structural relaxation.

a = 4.6685 Å, b = 4.6685 Å, c = 4.6685 Å
α = 60.00°, β = 60.00°, γ = 60.00°
Last column: nearest neighbours and their distance in Å.
Atoms (fractional coordinates):
Y 0.5000 0.5000 0.5000  4 Fe 2.86, 4 Ni 2.86
Ni 0.2500 0.2500 0.2500  4 Pb 2.86, 4 Y 2.86
Pb 0.0000 0.0000 0.0000  4 Ni 2.86, 4 Fe 2.86
Fe 0.7500 0.7500 0.7500  4 Y 2.86, 4 Pb 2.86

Calculated values
symmetry: F-43m (216)


Relative energy of each structure, in meV/atom: (1) 156; (2) 0.